No. 1
## TmTiClO3 (PBE)

Data for an optimized crystal structure of TmTiClO3.

a b c (Å): 9.916 3.869 9.700
angles (deg): 90.00 105.99 90.00
Space group C2/m (No. 12)
Asymmetric unit:
Tm1 0.229 0.000 0.205 (multiplicity 4)
Ti1 0.118 0.500 0.427 (multiplicity 4)
Cl1 0.115 0.000 0.908 (multiplicity 4)
O1 0.076 0.500 0.627 (multiplicity 4)
O2 0.153 0.500 0.246 (multiplicity 4)
O3 0.171 0.000 0.433 (multiplicity 4)

The uncorrected formation energy comes out at -3.0987 eV/atom. The density of states at the Fermi level is 0.00 states/eV/cell. Its total energy is -190.720 eV per cell. For the size of the total moment, the calculation gives 0.00 μB/atom.


No. 2
## SmZn3Ir2 (PBE)

Data for an optimized crystal structure of SmZn3Ir2.

a b c (Å): 5.8790 5.8790 20.8690
angles (deg): 90.00 90.00 120.00
Space group R-3m (No. 166, hexagonal axes)
Asymmetric unit:
Sm1 0.0000 0.0000 0.2211 (multiplicity 6)
Zn1 0.0112 0.5056 0.2349 (multiplicity 18)
Ir1 0.0000 0.0000 0.0000 (multiplicity 3)
Ir2 0.0000 0.5000 0.0000 (multiplicity 9)

The density of states at the Fermi level is 23.63 states/eV/cell. Its total energy is -163.234 eV per cell. Its formation energy is -157 meV/atom. For the size of the total moment, the calculation gives 0.00 μB/atom.


no.,theoretical density (g cm⁻³)
1,5.574
2,11.660